# 1
Pr2PbO: relaxed, GGA-PBE.

abc: 4.738 4.738 9.330
angles: 90.02 90.02 90.00
Sites, in units of the cell vectors:
1 Pr 0.250 0.250 0.334
2 Pr 0.250 0.750 0.000
3 Pr 0.750 0.250 0.000
4 Pr 0.750 0.750 0.666
5 Pb 0.250 0.250 0.700
6 Pb 0.750 0.750 0.300
7 O 0.250 0.250 0.077
8 O 0.750 0.750 0.923

Summary:
The formation energy (no corrections) comes out at -665 kJ/mol of formula units. The energy above the lowest structure with this stoichiometry is 0 meV per atom.



# 2
LuZrCdIr: relaxed, GGA-PBE.

abc: 4.875 4.875 4.875
angles: 60.00 60.00 60.00
Sites, in units of the cell vectors:
1 Lu 0.000 0.000 0.000
2 Zr 0.500 0.500 0.500
3 Cd 0.250 0.250 0.250
4 Ir 0.750 0.750 0.750

Summary:
The calculation puts the energy of formation from the pure elements at -458 meV per atom.



# 3
Ho3Zn3Ga: relaxed, GGA-PBE.

abc: 10.007 10.007 10.007
angles: 159.45 154.34 33.10
Sites, in units of the cell vectors:
1 Ho 0.000 0.000 0.000
2 Ho 0.387 0.387 0.000
3 Ho 0.693 0.193 0.500
4 Zn 0.126 0.626 0.500
5 Zn 0.554 0.554 0.000
6 Zn 0.834 0.834 0.000
7 Ga 0.259 0.759 0.500

Summary:
The calculation puts the energy of formation from the pure elements at -397 meV per atom.



# 4
LiReAuI2: relaxed, GGA-PBE.

abc: 5.394 5.394 4.785
angles: 90.00 90.00 90.00
Sites, in units of the cell vectors:
1 Li 0.000 0.000 0.000
2 Re 0.500 0.500 0.500
3 Au 0.000 0.000 0.500
4 I 0.000 0.500 0.000
5 I 0.500 0.000 0.000

Summary:
The formation energy (no corrections) comes out at 544 kJ/mol of formula units.



# 5
Mg2TlNi: relaxed, GGA-PBE.

abc: 6.291 6.291 6.291
angles: 151.54 137.12 52.27
Sites, in units of the cell vectors:
1 Mg 0.000 0.000 0.000
2 Mg 0.687 0.187 0.500
3 Tl 0.385 0.385 0.000
4 Ni 0.186 0.686 0.500

Summary:
The calculation puts the energy of formation from the pure elements at 4 meV per atom.



# 6
SrScSb2: relaxed, GGA-PBE.

abc: 3.481 4.022 8.168
angles: 90.00 98.49 90.00
Sites, in units of the cell vectors:
1 Sr 0.000 0.000 0.000
2 Sc 0.000 0.000 0.500
3 Sb 0.445 0.500 0.721
4 Sb 0.555 0.500 0.279

Summary:
The formation energy (no corrections) comes out at -292 kJ/mol of formula units. The energy above the lowest structure with this stoichiometry is 95 meV per atom.



# 7
Co2AsSe: relaxed, GGA-PBE.

abc: 3.586 4.509 4.351
angles: 90.00 114.20 90.00
Sites, in units of the cell vectors:
1 Co 0.000 0.000 0.000
2 Co 0.428 0.500 0.856
3 As 0.107 0.500 0.217
4 Se 0.322 0.000 0.642

Summary:
The formation energy (no corrections) comes out at -19 kJ/mol of formula units.



# 8
KTbHgSe3: relaxed, GGA-PBE.

abc: 8.865 4.272 10.237
angles: 90.00 106.93 90.00
Sites, in units of the cell vectors:
1 K 0.215 0.250 0.240
2 K 0.785 0.750 0.760
3 Tb 0.328 0.750 0.862
4 Tb 0.672 0.250 0.138
5 Hg 0.092 0.250 0.612
6 Hg 0.908 0.750 0.388
7 Se 0.102 0.250 0.871
8 Se 0.243 0.750 0.544
9 Se 0.458 0.750 0.150
10 Se 0.542 0.250 0.850
11 Se 0.757 0.250 0.456
12 Se 0.898 0.750 0.129

Summary:
The formation energy (no corrections) comes out at -692 kJ/mol of formula units.



# 9
NaNpAl2O6: relaxed, GGA-PBE.

abc: 7.313 7.313 5.838
angles: 105.70 105.70 82.89
Sites, in units of the cell vectors:
1 Na 0.090 0.910 0.750
2 Na 0.910 0.090 0.250
3 Np 0.274 0.726 0.250
4 Np 0.726 0.274 0.750
5 Al 0.213 0.369 0.830
6 Al 0.369 0.213 0.330
7 Al 0.631 0.787 0.670
8 Al 0.787 0.631 0.170
9 O 0.008 0.240 0.690
10 O 0.173 0.625 0.886
11 O 0.240 0.008 0.190
12 O 0.299 0.383 0.154
13 O 0.375 0.827 0.614
14 O 0.383 0.299 0.654
15 O 0.617 0.701 0.346
16 O 0.625 0.173 0.386
17 O 0.701 0.617 0.846
18 O 0.760 0.992 0.810
19 O 0.827 0.375 0.114
20 O 0.992 0.760 0.310

Summary:
The formation energy (no corrections) comes out at -2636 kJ/mol of formula units.



# 10
BaTe2ICl: relaxed, GGA-PBE.

abc: 7.049 7.049 6.550
angles: 90.00 90.00 90.00
Sites, in units of the cell vectors:
1 Ba 0.000 0.000 0.000
2 Te 0.000 0.500 0.000
3 Te 0.500 0.000 0.000
4 I 0.000 0.000 0.500
5 Cl 0.500 0.500 0.500

Summary:
The formation energy (no corrections) comes out at -26 kJ/mol of formula units. The energy above the lowest structure with this stoichiometry is 517 meV per atom.



# 11
YMgGa2Ni2: relaxed, GGA-PBE.

abc: 4.227 4.227 6.561
angles: 90.00 90.00 120.00
Sites, in units of the cell vectors:
1 Y 0.000 0.000 0.000
2 Mg 0.000 0.000 0.500
3 Ga 0.333 0.667 0.289
4 Ga 0.667 0.333 0.711
5 Ni 0.333 0.667 0.695
6 Ni 0.667 0.333 0.305

Summary:
The calculation puts the energy of formation from the pure elements at -494 meV per atom.



# 12
PmSmAl: relaxed, GGA-PBE.

abc: 3.550 3.550 8.247
angles: 102.41 102.41 60.16
Sites, in units of the cell vectors:
1 Pm 0.000 0.000 0.000
2 Sm 0.206 0.206 0.617
3 Al 0.437 0.437 0.308

Summary:
The calculation puts the energy of formation from the pure elements at 2 meV per atom. The energy above the lowest structure with this stoichiometry is 214 meV per atom.